Entry 1:
The following is a PBE calculation of a relaxed VZnSe2 crystal, from Alexandria via LeMat-Bulk.

```
4
Lattice="1.8853 1.0885 7.7194 -1.8853 1.0885 7.7194 0.0000 -2.1770 7.7194" Properties=species:S:1:pos:R:3 pbc="T T T"
V 0.0000 0.0000 0.0000
Zn 0.0000 0.0000 11.5791
Se 0.0000 0.0000 2.3900
Se 0.0000 0.0000 20.7682
```

Summary:
- uncorrected energy (eV/cell) = -17.0
- mass density (Mg/m³) = 4.79
- space group = R-3m, No. 166

---

Entry 2:
The following is a PBE calculation of a relaxed VZnSe2 crystal, from Alexandria via LeMat-Bulk.

```
4
Lattice="1.6470 0.9509 8.7405 -1.6470 0.9509 8.7405 0.0000 -1.9018 8.7405" Properties=species:S:1:pos:R:3 pbc="T T T"
V 0.0000 0.0000 0.0000
Zn 0.0000 0.0000 13.1108
Se 0.0000 0.0000 10.3326
Se 0.0000 0.0000 15.8890
```

Summary:
- uncorrected energy (eV/cell) = -18.9
- mass density (Mg/m³) = 5.55
- space group = R-3m, No. 166

---

Entry 3:
The following is a PBE calculation of a relaxed VZnSe2 crystal, from Alexandria via LeMat-Bulk.

```
8
Lattice="-2.9158 2.9158 5.6393 2.9158 -2.9158 5.6393 2.9158 2.9158 -5.6393" Properties=species:S:1:pos:R:3 pbc="T T T"
V 0.0000 0.0000 0.0000
V 0.0000 2.9158 2.8197
Zn 2.9158 0.0000 2.8197
Zn 0.0000 0.0000 5.6393
Se 1.4579 -1.4402 4.2295
Se 1.4757 1.4579 1.4098
Se 1.4579 4.3560 -1.4098
Se 1.4402 1.4579 7.0492
```

Summary:
- uncorrected energy (eV/cell) = -38.2
- mass density (Mg/m³) = 4.75
- space group = I-42d, No. 122

---

Entry 4:
The following is a PBE calculation of a relaxed VZnSe3 crystal, from Alexandria via LeMat-Bulk.

```
5
Lattice="4.8396 0.0000 0.0000 0.0000 4.8396 0.0000 0.0000 0.0000 4.8396" Properties=species:S:1:pos:R:3 pbc="T T T"
V 0.0000 0.0000 0.0000
Zn 2.4198 2.4198 2.4198
Se 0.0000 0.0000 2.4198
Se 0.0000 2.4198 0.0000
Se 2.4198 0.0000 0.0000
```

Summary:
- uncorrected energy (eV/cell) = -20.7
- mass density (Mg/m³) = 5.17
- space group = Pm-3m, No. 221

---

Entry 5:
The following is a PBE calculation of a relaxed V2ZnSe crystal, from Alexandria via LeMat-Bulk.

```
8
Lattice="-1.8466 1.8466 9.1620 1.8466 -1.8466 9.1620 1.8466 1.8466 -9.1620" Properties=species:S:1:pos:R:3 pbc="T T T"
V 2.7700 0.9057 -2.2905
V 0.9057 0.9233 2.2905
V -0.9233 0.9409 6.8715
V 0.9409 0.9233 11.4525
Zn 0.0000 0.0000 0.0000
Zn 0.0000 1.8466 4.5810
Se 1.8466 0.0000 4.5810
Se 0.0000 0.0000 9.1620
```

Summary:
- uncorrected energy (eV/cell) = -43.8
- mass density (Mg/m³) = 6.54
- space group = I-42d, No. 122

---

Entry 6:
The following is a PBE calculation of a relaxed Zr3VSe8 crystal, from Alexandria via LeMat-Bulk.

```
12
Lattice="6.4149 -3.7037 0.0000 6.4149 3.7037 0.0000 -4.3378 0.0000 6.9743" Properties=species:S:1:pos:R:3 pbc="T T T"
Zr 0.0000 0.0000 0.0000
Zr 3.2075 1.8518 0.0000
Zr 3.2075 -1.8518 0.0000
V 6.4149 0.0000 0.0000
Se 2.1388 0.0000 1.6449
Se 5.3975 1.7634 1.5751
Se 0.0400 0.0000 5.3987
Se 3.0945 1.7634 5.3993
Se 5.3975 -1.7634 1.5751
Se 8.4521 0.0000 1.5756
Se 3.0945 -1.7634 5.3993
Se 6.3533 0.0000 5.3294
```

Summary:
- uncorrected energy (eV/cell) = -76.2
- mass density (Mg/m³) = 4.79
- space group = C2/m, No. 12

---

Entry 7:
The following is a PBE calculation of a relaxed ZrV2Se6 crystal, from Alexandria via LeMat-Bulk.

```
9
Lattice="6.1135 -2.2568 0.0000 6.1135 2.2568 0.0000 -4.3767 0.0000 7.8678" Properties=species:S:1:pos:R:3 pbc="T T T"
Zr 0.0000 0.0000 0.0000
V -0.7637 0.0000 4.4906
V 8.6139 0.0000 3.3772
Se -2.7621 0.0000 5.6845
Se 1.6911 0.0000 3.5481
Se 0.4762 0.0000 6.8601
Se 7.3740 0.0000 1.0077
Se 6.1591 0.0000 4.3197
Se 10.6124 0.0000 2.1833
```

Summary:
- uncorrected energy (eV/cell) = -53.3
- mass density (Mg/m³) = 5.10
- space group = C2/m, No. 12

---

Entry 8:
The following is a PBE calculation of a relaxed ZrV2Se crystal, from Alexandria via LeMat-Bulk.

```
8
Lattice="-3.7614 3.7614 2.5772 3.7614 -3.7614 2.5772 3.7614 3.7614 -2.5772" Properties=species:S:1:pos:R:3 pbc="T T T"
Zr 0.0000 0.0000 0.0000
Zr 0.0000 3.7614 1.2886
V 1.8807 -1.3501 1.9329
V 2.4113 1.8807 0.6443
V 1.8807 5.1115 -0.6443
V 1.3501 1.8807 3.2215
Se 3.7614 0.0000 1.2886
Se 0.0000 0.0000 2.5772
```

Summary:
- uncorrected energy (eV/cell) = -59.4
- mass density (Mg/m³) = 6.19
- space group = I-42d, No. 122